[1]
A geometry-optimized Er3OsPd2 structure, computed with GGA-PBE.

Energy of formation: -4.32 eV/f.u.

Cell lengths 7.6509, 7.6509, 6.9614 Å; angles 90.00, 90.00, 143.09 degrees
Atoms (fractional coordinates):
1 Er 0.0000 0.0000 0.2434
2 Er 0.0000 0.0000 0.7566
3 Er 0.3303 0.6697 0.2402
4 Er 0.3303 0.6697 0.7598
5 Er 0.6697 0.3303 0.2402
6 Er 0.6697 0.3303 0.7598
7 Os 0.1650 0.8350 0.0000
8 Os 0.8350 0.1650 0.0000
9 Pd 0.1664 0.8336 0.5000
10 Pd 0.5000 0.5000 0.0000
11 Pd 0.5000 0.5000 0.5000
12 Pd 0.8336 0.1664 0.5000



[2]
A geometry-optimized Er6Os2Pd structure, computed with GGA-PBE.

Energy of formation: -2.95 eV/f.u.

Cell lengths 6.5869, 7.4150, 11.0640 Å; angles 90.00, 123.75, 90.00 degrees
Atoms (fractional coordinates):
1 Er 0.0700 0.0514 0.2365
2 Er 0.0700 0.4486 0.7365
3 Er 0.2151 0.6751 0.0700
4 Er 0.2151 0.8249 0.5700
5 Er 0.3948 0.1646 0.0679
6 Er 0.3948 0.3354 0.5679
7 Er 0.6052 0.6646 0.4321
8 Er 0.6052 0.8354 0.9321
9 Er 0.7849 0.1751 0.4300
10 Er 0.7849 0.3249 0.9300
11 Er 0.9300 0.5514 0.2635
12 Er 0.9300 0.9486 0.7635
13 Os 0.2962 0.1224 0.7599
14 Os 0.2962 0.3776 0.2599
15 Os 0.7038 0.6224 0.7401
16 Os 0.7038 0.8776 0.2401
17 Pd 0.5000 0.0000 0.5000
18 Pd 0.5000 0.5000 0.0000



[3]
A geometry-optimized Er6OsPd5 structure, computed with GGA-PBE.

Energy of formation: -9.96 eV/f.u.

Cell lengths 4.9170, 6.8584, 7.7438 Å; angles 90.00, 108.11, 90.00 degrees
Atoms (fractional coordinates):
1 Er 0.0000 0.2429 0.0000
2 Er 0.0000 0.7571 0.0000
3 Er 0.3375 0.2469 0.6743
4 Er 0.3375 0.7531 0.6743
5 Er 0.6625 0.2469 0.3257
6 Er 0.6625 0.7531 0.3257
7 Os 0.5000 0.0000 0.0000
8 Pd 0.1671 0.5000 0.3351
9 Pd 0.1690 0.0000 0.3388
10 Pd 0.5000 0.5000 0.0000
11 Pd 0.8310 0.0000 0.6612
12 Pd 0.8329 0.5000 0.6649



[4]
A geometry-optimized Er8OsPd2 structure, computed with GGA-PBE.

Energy above the lowest structure with this stoichiometry: 94.4 meV per atom
Energy of formation: -3.64 eV/f.u.

Cell lengths 7.6459, 7.6459, 5.8972 Å; angles 100.97, 100.97, 115.04 degrees
Atoms (fractional coordinates):
1 Er 0.0000 0.0000 0.0000
2 Er 0.0224 0.2704 0.5625
3 Er 0.1444 0.5586 0.1741
4 Er 0.2704 0.0224 0.5625
5 Er 0.4400 0.6881 0.7633
6 Er 0.5586 0.1444 0.1741
7 Er 0.6881 0.4400 0.7633
8 Er 0.7092 0.7092 0.3510
9 Os 0.3538 0.3538 0.3377
10 Pd 0.0521 0.6667 0.6770
11 Pd 0.6667 0.0521 0.6770



[5]
A geometry-optimized Er8OsPd2 structure, computed with GGA-PBE.

Energy above the lowest structure with this stoichiometry: 0.0 meV per atom
Energy of formation: -4.67 eV/f.u.

Cell lengths 8.8980, 8.8980, 6.7357 Å; angles 106.46, 106.46, 32.84 degrees
Atoms (fractional coordinates):
1 Er 0.0311 0.0311 0.2957
2 Er 0.2002 0.2002 0.8113
3 Er 0.3354 0.3354 0.5320
4 Er 0.4089 0.4089 0.0632
5 Er 0.5911 0.5911 0.9368
6 Er 0.6646 0.6646 0.4680
7 Er 0.7998 0.7998 0.1887
8 Er 0.9689 0.9689 0.7043
9 Os 0.5000 0.5000 0.5000
10 Pd 0.1867 0.1867 0.2093
11 Pd 0.8133 0.8133 0.7907



[6]
A geometry-optimized Er2OsPd structure, computed with GGA-PBE.

Energy above the lowest structure with this stoichiometry: 708.5 meV per atom
Energy of formation: 0.34 eV/f.u.

Cell lengths 9.5719, 9.5719, 9.5719 Å; angles 19.81, 19.81, 19.81 degrees
Atoms (fractional coordinates):
1 Er 0.0936 0.0936 0.0936
2 Er 0.9064 0.9064 0.9064
3 Os 0.5000 0.5000 0.5000
4 Pd 0.0000 0.0000 0.0000



[7]
A geometry-optimized Er5OsPd4 structure, computed with GGA-PBE.

Energy of formation: -8.06 eV/f.u.

Cell lengths 3.4197, 3.4197, 17.6493 Å; angles 90.00, 90.00, 90.00 degrees
Atoms (fractional coordinates):
1 Er 0.0000 0.0000 0.0000
2 Er 0.0000 0.0000 0.2024
3 Er 0.0000 0.0000 0.4066
4 Er 0.0000 0.0000 0.5934
5 Er 0.0000 0.0000 0.7976
6 Os 0.5000 0.5000 0.5000
7 Pd 0.5000 0.5000 0.1007
8 Pd 0.5000 0.5000 0.2993
9 Pd 0.5000 0.5000 0.7007
10 Pd 0.5000 0.5000 0.8993



[8]
A geometry-optimized Er6OsPd2 structure, computed with GGA-PBE.

Energy of formation: -4.47 eV/f.u.

Cell lengths 8.2382, 8.2382, 8.2382 Å; angles 110.78, 109.12, 108.52 degrees
Atoms (fractional coordinates):
1 Er 0.0467 0.8327 0.2140
2 Er 0.2573 0.5713 0.3139
3 Er 0.2573 0.9434 0.6861
4 Er 0.2589 0.3268 0.5857
5 Er 0.2589 0.6732 0.9321
6 Er 0.3813 0.1673 0.2140
7 Er 0.6187 0.8327 0.7860
8 Er 0.7411 0.3268 0.0679
9 Er 0.7411 0.6732 0.4143
10 Er 0.7427 0.0566 0.3139
11 Er 0.7427 0.4287 0.6861
12 Er 0.9533 0.1673 0.7860
13 Os 0.0000 0.5000 0.5000
14 Os 0.5000 0.0000 0.5000
15 Pd 0.0000 0.1548 0.1548
16 Pd 0.0000 0.8452 0.8452
17 Pd 0.3635 0.3635 0.0000
18 Pd 0.6365 0.6365 0.0000